The following is a DFT calculation (GGA-PBE) of a relaxed structure of PmNd2Au6.

DFT formation energy ... -704 meV/atom
Total energy ... -40.28 eV/cell
DOS(E_F) ... 0.601 states/eV/atom

Geometry as POSCAR:
```
PmNd2Au6
1.0
3.740 0.000 0.000
1.870 8.299 1.340
1.870 3.666 7.565
Nd Au Pm
2 6 1
Cartesian
5.610 10.275 7.647 Nd
1.870 1.689 1.257 Nd
1.870 3.027 4.035 Au
1.870 7.438 2.496 Au
5.610 8.938 4.869 Au
5.610 7.231 7.163 Au
1.870 4.526 6.408 Au
1.870 4.734 1.741 Au
3.740 5.982 4.452 Pm
```